No. 1
Entry from Alexandria via LeMat-Bulk: a geometry-optimized ScCu3Ge3 structure (PBE).

Computed properties:
Symmetry: Pm-3n, No. 223
E (eV/atom): -4.310
Formation energy (eV per atom): 0.329
Magnetic moment (Bohr magnetons per cell): 0.00
Fermi-level density of states (states/eV per atom): 0.6457

Cell lengths 6.573, 6.573, 6.573 Å; angles 90.00, 90.00, 90.00 degrees
Fractional positions:
Sc (0.000, 0.000, 0.000)
Sc (0.500, 0.500, 0.500)
Cu (0.000, 0.250, 0.500)
Cu (0.000, 0.750, 0.500)
Cu (0.250, 0.500, 0.000)
Cu (0.500, 0.000, 0.250)
Cu (0.500, 0.000, 0.750)
Cu (0.750, 0.500, 0.000)
Ge (0.000, 0.500, 0.250)
Ge (0.000, 0.500, 0.750)
Ge (0.250, 0.000, 0.500)
Ge (0.500, 0.250, 0.000)
Ge (0.500, 0.750, 0.000)
Ge (0.750, 0.000, 0.500)



No. 2
Entry from Alexandria via LeMat-Bulk: a geometry-optimized ScCu3Ge structure (PBE).

Computed properties:
Symmetry: Pmmn, No. 59
E (eV/atom): -4.881
Formation energy (eV per atom): -0.234
Magnetic moment (Bohr magnetons per cell): 0.00
Fermi-level density of states (states/eV per atom): 0.3008

Cell lengths 4.277, 5.883, 5.903 Å; angles 90.00, 90.00, 90.00 degrees
Fractional positions:
Sc (0.250, 0.250, 0.237)
Sc (0.750, 0.750, 0.763)
Cu (0.250, 0.048, 0.744)
Cu (0.250, 0.452, 0.744)
Cu (0.250, 0.750, 0.047)
Cu (0.750, 0.250, 0.953)
Cu (0.750, 0.548, 0.256)
Cu (0.750, 0.952, 0.256)
Ge (0.250, 0.750, 0.440)
Ge (0.750, 0.250, 0.560)



No. 3
Entry from Alexandria via LeMat-Bulk: a geometry-optimized ScCuGe3 structure (PBE).

Computed properties:
Symmetry: Pm-3m, No. 221
E (eV/atom): -4.604
Formation energy (eV per atom): 0.252
Magnetic moment (Bohr magnetons per cell): 0.00
Fermi-level density of states (states/eV per atom): 0.9847

Cell lengths 4.694, 4.694, 4.694 Å; angles 90.00, 90.00, 90.00 degrees
Fractional positions:
Sc (0.000, 0.000, 0.000)
Cu (0.500, 0.500, 0.500)
Ge (0.000, 0.500, 0.500)
Ge (0.500, 0.000, 0.500)
Ge (0.500, 0.500, 0.000)